DFT (PBE) results for a relaxed ZrSc2In crystal.

Output
total DFT energy (no corrections) = -6.195 eV/atom
mass density = 5.31 g cm⁻³
space group = Pmm2

Geometry as POSCAR:
```
ZrSc2In
1.0
3.350 0.000 0.000
0.000 4.377 0.000
0.000 0.000 6.315
Zr Sc In
1 2 1
direct
0.000 0.000 0.000 Zr
0.000 0.000 0.508 Sc
0.500 0.500 0.765 Sc
0.500 0.500 0.257 In
```

=====

DFT (PBE) results for a relaxed Zr3AlBi crystal.

Output
mass density = 6.58 g cm⁻³
space group = Pm-3m
excess energy over the best structure of this formula in the dataset = 0.0000 eV/atom

Geometry as POSCAR:
```
Zr3AlBi
1.0
5.048 0.000 0.000
0.000 5.048 0.000
0.000 0.000 5.048
Zr Al Bi
3 1 1
direct
0.000 0.000 0.500 Zr
0.000 0.500 0.000 Zr
0.500 0.000 0.000 Zr
0.000 0.000 0.000 Al
0.500 0.500 0.500 Bi
```

=====

DFT (PBE) results for a relaxed Y2TcRu crystal.

Output
total DFT energy (no corrections) = -7.941 eV/atom
mass density = 7.70 g cm⁻³
space group = P2/m

Geometry as POSCAR:
```
Y2TcRu
1.0
3.167 0.000 0.000
0.000 4.262 0.000
-1.123 0.000 6.021
Y Tc Ru
2 1 1
direct
0.242 0.000 0.252 Y
0.758 0.000 0.748 Y
0.500 0.500 0.000 Tc
0.000 0.500 0.500 Ru
```

=====

DFT (PBE) results for a relaxed CaNd2NpAs4 crystal.

Output
total DFT energy (no corrections) = -6.562 eV/atom
mass density = 6.78 g cm⁻³
space group = P2/m

Geometry as POSCAR:
```
CaNd2NpAs4
1.0
7.285 0.000 0.000
0.000 4.224 0.000
-2.387 0.000 6.892
Ca Nd Np As
1 2 1 4
direct
0.000 0.000 0.000 Ca
0.500 0.000 0.500 Nd
0.500 0.500 0.000 Nd
0.000 0.500 0.500 Np
0.239 0.000 0.739 As
0.242 0.500 0.259 As
0.758 0.500 0.741 As
0.761 0.000 0.261 As
```

=====

DFT (PBE) results for a relaxed La4ZnBr2 crystal.

Output
mass density = 5.96 g cm⁻³
space group = Cmcm
ΔE_f (raw) = -0.783 eV per atom

Geometry as POSCAR:
```
La4ZnBr2
1.0
1.981 -7.122 0.000
1.981 7.122 0.000
0.000 0.000 15.419
La Zn Br
8 2 4
direct
0.000 0.000 0.000 La
0.000 0.000 0.500 La
0.310 0.690 0.634 La
0.310 0.690 0.866 La
0.413 0.587 0.250 La
0.587 0.413 0.750 La
0.690 0.310 0.134 La
0.690 0.310 0.366 La
0.076 0.924 0.250 Zn
0.924 0.076 0.750 Zn
0.346 0.654 0.064 Br
0.346 0.654 0.436 Br
0.654 0.346 0.564 Br
0.654 0.346 0.936 Br
```

=====

DFT (PBE) results for a relaxed La4Dy8Er3 crystal.

Output
total DFT energy (no corrections) = -4.329 eV/atom
mass density = 7.65 g cm⁻³
space group = C2/m

Geometry as POSCAR:
```
La4Dy8Er3
1.0
6.751 -6.436 0.000
6.751 6.436 0.000
-3.390 0.000 5.885
La Dy Er
4 8 3
direct
0.000 0.000 0.000 La
0.000 0.000 0.500 La
0.000 0.500 0.000 La
0.500 0.000 0.000 La
0.256 0.744 0.000 Dy
0.268 0.268 0.515 Dy
0.274 0.274 0.042 Dy
0.363 0.637 0.500 Dy
0.637 0.363 0.500 Dy
0.726 0.726 0.958 Dy
0.732 0.732 0.485 Dy
0.744 0.256 0.000 Dy
0.000 0.500 0.500 Er
0.500 0.000 0.500 Er
0.500 0.500 0.000 Er
```

=====

DFT (PBE) results for a relaxed YMnRu4 crystal.

Output
total DFT energy (no corrections) = -8.708 eV/atom
mass density = 9.03 g cm⁻³
space group = F-43m

Geometry as POSCAR:
```
YMnRu4
1.0
0.000 3.693 3.693
3.693 0.000 3.693
3.693 3.693 0.000
Y Mn Ru
1 1 4
direct
0.000 0.000 0.000 Y
0.750 0.750 0.750 Mn
0.376 0.376 0.376 Ru
0.376 0.376 0.873 Ru
0.376 0.873 0.376 Ru
0.873 0.376 0.376 Ru
```

=====

DFT (PBE) results for a relaxed AcZn3Pd4O12 crystal.

Output
mass density = 7.45 g cm⁻³
space group = Im-3
ΔE_f (raw) = -1.000 eV per atom

Geometry as POSCAR:
```
AcZn3Pd4O12
1.0
-3.871 3.871 3.871
3.871 -3.871 3.871
3.871 3.871 -3.871
Ac Zn Pd O
1 3 4 12
direct
0.000 0.000 0.000 Ac
0.000 0.500 0.500 Zn
0.500 0.000 0.500 Zn
0.500 0.500 0.000 Zn
0.000 0.000 0.500 Pd
0.000 0.500 0.000 Pd
0.500 0.000 0.000 Pd
0.500 0.500 0.500 Pd
0.131 0.306 0.825 O
0.175 0.481 0.306 O
0.175 0.869 0.694 O
0.306 0.175 0.481 O
0.306 0.825 0.131 O
0.481 0.306 0.175 O
0.519 0.694 0.825 O
0.694 0.175 0.869 O
0.694 0.825 0.519 O
0.825 0.131 0.306 O
0.825 0.519 0.694 O
0.869 0.694 0.175 O
```

=====

DFT (PBE) results for a relaxed TiTcNi2 crystal.

Output
mass density = 8.51 g cm⁻³
space group = P4/mmm
excess energy over the best structure of this formula in the dataset = 0.0000 eV/atom

Geometry as POSCAR:
```
TiTcNi2
1.0
3.690 0.000 0.000
0.000 3.690 0.000
0.000 0.000 3.774
Ti Tc Ni
1 1 2
direct
0.000 0.000 0.000 Ti
0.500 0.500 0.000 Tc
0.000 0.500 0.500 Ni
0.500 0.000 0.500 Ni
```

=====

DFT (PBE) results for a relaxed ZnIrN2O crystal.

Output
mass density = 8.10 g cm⁻³
space group = P4/mmm
ΔE_f (raw) = 0.741 eV per atom

Geometry as POSCAR:
```
ZnIrN2O
1.0
3.753 0.000 0.000
0.000 3.753 0.000
0.000 0.000 4.393
Zn Ir N O
1 1 2 1
direct
0.000 0.000 0.000 Zn
0.500 0.500 0.500 Ir
0.000 0.500 0.500 N
0.500 0.000 0.500 N
0.500 0.500 0.000 O
```

=====

The calculation returns the following density of states at the Fermi level values, one per record and in order: 1.00 0.94 1.07 1.34 1.16 2.00 1.33 0.11 1.03 0.38 states/eV per atom.